No. 1
Entry from Alexandria via LeMat-Bulk: a relaxed Y2TcAg crystal (PBE-GGA).

a = 9.9529 Å, b = 9.9529 Å, c = 9.9529 Å
α = 19.31°, β = 19.31°, γ = 19.31°
With the nearest neighbours (Å) after each atom.
Fractional coordinates of all 4 atoms:
Y 0.0000 0.0000 0.0000  3 Ag 3.11, 6 Y 3.34
Y 0.2251 0.2251 0.2251  3 Tc 2.81
Tc 0.4888 0.4888 0.4888  3 Y 2.81, 3 Ag 2.86
Ag 0.7499 0.7499 0.7499  3 Tc 2.86, 3 Y 3.11

Output
**DFT formation energy**: 0.470 eV/atom
**Symmetry**: R3m, No. 160
**Crystal system**: trigonal

=====

No. 2
Entry from Alexandria via LeMat-Bulk: a relaxed KUSi2O8 crystal (PBE-GGA).

a = 5.9310 Å, b = 5.9310 Å, c = 5.9310 Å
α = 105.56°, β = 105.56°, γ = 117.61°
With the nearest neighbours (Å) after each atom.
Fractional coordinates of all 12 atoms:
K 0.0000 0.0000 0.0000  8 O 2.43-2.61
U 0.2500 0.7500 0.5000  8 O 2.27-2.28
Si 0.5000 0.5000 0.0000  4 O 1.67
Si 0.7500 0.2500 0.5000  4 O 1.64
O 0.3567 0.1589 0.8022  1 Si 1.67
O 0.3567 0.5545 0.1978  1 Si 1.67
O 0.4010 0.0666 0.3343  1 Si 1.64
O 0.4455 0.6433 0.8022  1 Si 1.67
O 0.7323 0.0666 0.6657  1 Si 1.64
O 0.8411 0.6433 0.1978  1 Si 1.67
O 0.9334 0.2677 0.3343  1 Si 1.64
O 0.9334 0.5990 0.6657  1 Si 1.64

Output
**Symmetry**: I-4m2, No. 119
**Formation energy (no corrections)**: -2.341 eV/atom
**Crystal system**: tetragonal

=====

No. 3
Entry from Alexandria via LeMat-Bulk: a relaxed Tb2PmEr2 crystal (PBE-GGA).

a = 9.3237 Å, b = 9.3237 Å, c = 3.7263 Å
α = 90.00°, β = 90.00°, γ = 90.00°
With the nearest neighbours (Å) after each atom.
Fractional coordinates of all 10 atoms:
Tb 0.1264 0.3736 0.0000  6 Er 3.26-3.36, 1 Tb 3.33
Tb 0.3736 0.8736 0.0000  6 Er 3.26-3.36, 1 Tb 3.33
Tb 0.6264 0.1264 0.0000  6 Er 3.26-3.36, 1 Tb 3.33
Tb 0.8736 0.6264 0.0000  6 Er 3.26-3.36, 1 Tb 3.33
Pm 0.0000 0.0000 0.0000  4 Tb 3.68, 2 Pm 3.73, 8 Er 3.93
Pm 0.5000 0.5000 0.0000  4 Tb 3.68, 2 Pm 3.73, 8 Er 3.93
Er 0.1707 0.6707 0.5000  6 Tb 3.26-3.36
Er 0.3293 0.1707 0.5000  6 Tb 3.26-3.36
Er 0.6707 0.8293 0.5000  6 Tb 3.26-3.36
Er 0.8293 0.3293 0.5000  6 Tb 3.26-3.36

Output
**DFT formation energy**: 0.083 eV/atom
**Symmetry**: P4/mbm, No. 127
**Energy above the most stable polymorph in this dataset**: 0.0000 eV/atom
**Crystal system**: tetragonal

=====

No. 4
Entry from Alexandria via LeMat-Bulk: a relaxed PmHg2Au crystal (PBE-GGA).

a = 4.4371 Å, b = 4.4371 Å, c = 4.9647 Å
α = 90.00°, β = 90.00°, γ = 90.00°
With the nearest neighbours (Å) after each atom.
Fractional coordinates of all 4 atoms:
Pm 0.0000 0.0000 0.0000  4 Au 3.14, 8 Hg 3.33
Hg 0.0000 0.5000 0.5000  4 Hg 3.14, 4 Pm 3.33, 4 Au 3.33
Hg 0.5000 0.0000 0.5000  4 Hg 3.14, 4 Pm 3.33, 4 Au 3.33
Au 0.5000 0.5000 0.0000  4 Pm 3.14, 8 Hg 3.33

Output
**DFT formation energy**: -0.408 eV/atom
**Symmetry**: P4/mmm, No. 123
**Energy above the most stable polymorph in this dataset**: 0.0663 eV/atom
**Crystal system**: tetragonal

=====

Calculated values (states/eV per cell) of Fermi-level density of states for the records, taken in order: 4.1; 6.7; 9.5; 3.3.